[1]
Compound: HoThAs2
Source: Alexandria
Functional: PBE-GGA
Structure: optimized geometry

Summary:
Formation energy from the elements, meV per atom: -1462
V, Å³/cell: 309.4
Relative energy among the computed polymorphs, eV per atom: 0.000
E_tot, eV per atom: -6.786

Cell and atoms, written as CIF:
```
data_HoThAs2
_symmetry_space_group_name_H-M 'R -3 m'
_symmetry_Int_Tables_number 166
_symmetry_space_group_name_Hall '-R 3 2"'
_cell_length_a 4.1908
_cell_length_b 4.1908
_cell_length_c 20.3372
_cell_angle_alpha 90.00
_cell_angle_beta 90.00
_cell_angle_gamma 120.00
loop_
_atom_site_label
_atom_site_type_symbol
_atom_site_fract_x
_atom_site_fract_y
_atom_site_fract_z
_atom_site_occupancy
Ho1 Ho 0.0000 0.0000 0.0000 1
Th1 Th 0.0000 0.0000 0.5000 1
As1 As 0.0000 0.0000 0.2531 1
```

[2]
Compound: Na2BH4
Source: Alexandria
Functional: PBE-GGA
Structure: optimized geometry

Summary:
V, Å³/cell: 408.8
Relative energy among the computed polymorphs, eV per atom: 0.000
E_tot, eV per atom: -3.445

Cell and atoms, written as CIF:
```
data_Na2BH4
_symmetry_space_group_name_H-M 'I -4 2 d'
_symmetry_Int_Tables_number 122
_symmetry_space_group_name_Hall 'I -4 2bw'
_cell_length_a 6.787
_cell_length_b 6.787
_cell_length_c 8.875
_cell_angle_alpha 90.00
_cell_angle_beta 90.00
_cell_angle_gamma 90.00
loop_
_atom_site_label
_atom_site_type_symbol
_atom_site_fract_x
_atom_site_fract_y
_atom_site_fract_z
_atom_site_occupancy
Na1 Na 0.220 0.250 0.125 1
B1 B 0.000 0.000 0.500 1
H1 H 0.065 0.132 0.419 1
```

[3]
Compound: MgBeIn2
Source: Alexandria
Functional: PBE-GGA
Structure: optimized geometry

Summary:
Formation energy from the elements, meV per atom: 254
V, Å³/cell: 85.4
Relative energy among the computed polymorphs, eV per atom: 0.025
E_tot, eV per atom: -2.445

Cell and atoms, written as CIF:
```
data_MgBeIn2
_symmetry_space_group_name_H-M 'P 1 m 1'
_symmetry_Int_Tables_number 6
_cell_length_a 4.119
_cell_length_b 4.250
_cell_length_c 5.242
_cell_angle_alpha 90.00
_cell_angle_beta 111.47
_cell_angle_gamma 90.00
loop_
_symmetry_equiv_pos_as_xyz
'x,y,z'
'x,-y,z'
loop_
_atom_site_label
_atom_site_type_symbol
_atom_site_fract_x
_atom_site_fract_y
_atom_site_fract_z
_atom_site_occupancy
Mg1 Mg 0.000 0.000 0.000 1
Be1 Be 0.557 0.500 0.144 1
In1 In 0.291 0.500 0.613 1
In2 In 0.699 0.000 0.421 1
```

[4]
Compound: Ti3Al3Ni2Mo
Source: Alexandria
Functional: PBE-GGA
Structure: optimized geometry

Summary:
Formation energy from the elements, meV per atom: -262
V, Å³/cell: 137.5
E_tot, eV per atom: -6.630

Cell and atoms, written as CIF:
```
data_Ti3Al3Ni2Mo
_symmetry_space_group_name_H-M 'P -6 2 m'
_symmetry_Int_Tables_number 189
_symmetry_space_group_name_Hall 'P -6 -2'
_cell_length_a 7.2325
_cell_length_b 7.2325
_cell_length_c 3.0356
_cell_angle_alpha 90.00
_cell_angle_beta 90.00
_cell_angle_gamma 120.00
loop_
_atom_site_label
_atom_site_type_symbol
_atom_site_fract_x
_atom_site_fract_y
_atom_site_fract_z
_atom_site_occupancy
Ti1 Ti 0.0000 0.7125 0.0000 1
Al1 Al 0.0000 0.3787 0.5000 1
Ni1 Ni 0.3333 0.6667 0.0000 1
Mo1 Mo 0.0000 0.0000 0.5000 1
```